Entry from Alexandria via LeMat-Bulk: a relaxed LiNiGe2 crystal (GGA-PBE).

Output
* symmetry: R3m
* DOS(E_F): 0.225 states/eV per atom
* theoretical density: 5.6 g cm⁻³
* energy of formation: -0.27 eV/atom
* total moment: 0.00 μB per formula unit

Lattice parameters (Å, degrees): 3.960 3.960 5.126 67.28 67.28 60.00
Fractional positions:
Ge 0.062 0.062 0.813
Li 0.489 0.489 0.534
Ge 0.272 0.272 0.183
Ni 0.677 0.677 0.970



Entry from Alexandria via LeMat-Bulk: a relaxed LiNi4Ge2 crystal (GGA-PBE).

Output
* symmetry: I4/mmm
* DOS(E_F): 0.558 states/eV per atom
* theoretical density: 7.1 g cm⁻³
* energy of formation: -0.04 eV/atom
* total moment: 0.00 μB per formula unit

Lattice parameters (Å, degrees): 4.230 4.230 5.864 111.14 111.14 90.00
Fractional positions:
Ni 0.000 0.500 0.000
Ni 0.750 0.250 0.500
Ni 0.250 0.750 0.500
Ge 0.365 0.365 0.730
Ni 0.500 0.000 0.000
Ge 0.635 0.635 0.270
Li 0.000 0.000 0.000



Entry from Alexandria via LeMat-Bulk: a relaxed LiNi4Ge4 crystal (GGA-PBE).

Output
* symmetry: I4/m
* DOS(E_F): 0.253 states/eV per atom
* theoretical density: 6.0 g cm⁻³
* energy of formation: -0.17 eV/atom
* total moment: 0.00 μB per formula unit

Lattice parameters (Å, degrees): 4.528 8.096 8.096 90.00 90.00 90.00
Fractional positions:
Ge 0.000 0.117 0.620
Ge 0.000 0.620 0.883
Ge 0.500 0.617 0.120
Ni 0.000 0.677 0.180
Li 0.500 0.500 0.500
Ni 0.500 0.823 0.320
Ni 0.000 0.820 0.677
Ge 0.000 0.380 0.117
Ni 0.500 0.177 0.680
Ni 0.000 0.323 0.820
Ni 0.000 0.180 0.323
Ge 0.500 0.120 0.383
Ge 0.000 0.883 0.380
Ni 0.500 0.680 0.823
Ge 0.500 0.383 0.880
Ni 0.500 0.320 0.177
Ge 0.500 0.880 0.617
Li 0.000 0.000 0.000



Entry from Alexandria via LeMat-Bulk: a relaxed LiNi3Ge2 crystal (GGA-PBE).

Output
* symmetry: Cmmm
* DOS(E_F): 0.599 states/eV per atom
* theoretical density: 6.4 g cm⁻³
* energy of formation: -0.29 eV/atom
* total moment: 0.00 μB per formula unit

Lattice parameters (Å, degrees): 5.094 7.557 6.330 126.64 113.72 90.00
Fractional positions:
Ge 0.833 0.083 0.166
Ni 0.500 0.750 0.000
Ni 0.000 0.750 0.000
Li 0.500 0.750 0.500
Ge 0.167 0.417 0.834
Ge 0.833 0.583 0.166
Ni 0.000 0.250 0.000
Ni 0.500 0.250 0.000
Ge 0.167 0.917 0.834
Li 0.500 0.250 0.500
Ni 0.000 0.000 0.500
Ni 0.000 0.500 0.500



Entry from Alexandria via LeMat-Bulk: a relaxed LiNi2Ge2 crystal (GGA-PBE).

Output
* symmetry: P4/mbm
* DOS(E_F): 0.746 states/eV per atom
* theoretical density: 6.6 g cm⁻³
* energy of formation: -0.28 eV/atom
* total moment: 0.00 μB per formula unit

Lattice parameters (Å, degrees): 7.021 7.021 2.754 90.00 90.00 90.00
Fractional positions:
Ge 0.664 0.836 0.500
Ni 0.368 0.868 0.000
Li 0.500 0.500 0.000
Ge 0.164 0.664 0.500
Li 0.000 0.000 0.000
Ge 0.836 0.336 0.500
Ni 0.868 0.632 0.000
Ni 0.132 0.368 0.000
Ge 0.336 0.164 0.500
Ni 0.632 0.132 0.000



Entry from Alexandria via LeMat-Bulk: a relaxed LiNi2Ge crystal (GGA-PBE).

Output
* symmetry: P4/mmm
* DOS(E_F): 0.621 states/eV per atom
* theoretical density: 6.8 g cm⁻³
* energy of formation: -0.17 eV/atom
* total moment: 0.00 μB per formula unit

Lattice parameters (Å, degrees): 2.990 2.990 5.346 90.00 90.00 90.00
Fractional positions:
Ni 0.000 0.000 0.758
Li 0.500 0.500 0.500
Ge 0.500 0.500 0.000
Ni 0.000 0.000 0.242



Entry from Alexandria via LeMat-Bulk: a relaxed LiNiGe2 crystal (GGA-PBE).

Output
* symmetry: Pnma
* DOS(E_F): 0.385 states/eV per atom
* theoretical density: 5.7 g cm⁻³
* energy of formation: -0.27 eV/atom
* total moment: 0.00 μB per formula unit

Lattice parameters (Å, degrees): 5.122 6.436 14.824 90.00 90.00 90.00
Fractional positions:
Ni 0.230 0.250 0.328
Ge 0.009 0.546 0.786
Ge 0.991 0.046 0.214
Li 0.243 0.750 0.109
Ni 0.770 0.750 0.672
Ni 0.730 0.750 0.172
Ge 0.763 0.545 0.531
Li 0.520 0.750 0.857
Ni 0.503 0.250 0.575
Ni 0.003 0.750 0.925
Ge 0.763 0.955 0.531
Li 0.980 0.750 0.357
Ge 0.237 0.045 0.469
Ni 0.997 0.250 0.075
Li 0.257 0.750 0.609
Ge 0.991 0.454 0.214
Ge 0.009 0.954 0.786
Li 0.480 0.250 0.143
Ge 0.263 0.045 0.969
Ni 0.270 0.250 0.828
Li 0.743 0.250 0.391
Li 0.757 0.250 0.891
Ge 0.237 0.455 0.469
Ge 0.509 0.454 0.714
Ge 0.263 0.455 0.969
Ge 0.491 0.546 0.286
Ge 0.737 0.955 0.031
Ge 0.509 0.046 0.714
Ge 0.491 0.954 0.286
Ge 0.737 0.545 0.031
Li 0.020 0.250 0.643
Ni 0.497 0.750 0.425



Entry from Alexandria via LeMat-Bulk: a relaxed LiNi6Ge6 crystal (GGA-PBE).

Output
* symmetry: P6/mmm
* DOS(E_F): 0.399 states/eV per atom
* theoretical density: 7.6 g cm⁻³
* energy of formation: -0.32 eV/atom
* total moment: 0.00 μB per formula unit

Lattice parameters (Å, degrees): 8.776 8.776 7.835 90.00 90.00 120.00
Fractional positions:
Ni 0.666 0.833 0.245
Ni 0.167 0.334 0.245
Ge 0.333 0.667 0.662
Ge 0.325 0.000 0.500
Ge 0.675 0.000 0.500
Ni 0.334 0.167 0.245
Ge 0.000 0.325 0.500
Ni 0.500 0.000 0.260
Ni 0.167 0.334 0.755
Ge 0.000 0.675 0.500
Ge 0.341 0.341 0.000
Ge 0.000 0.341 0.000
Ni 0.500 0.000 0.740
Ni 0.000 0.500 0.740
Ni 0.500 0.500 0.260
Ge 0.000 0.659 0.000
Ge 0.000 0.000 0.161
Ge 0.659 0.659 0.000
Ni 0.666 0.833 0.755
Ge 0.000 0.000 0.839
Li 0.667 0.333 0.000
Ni 0.833 0.167 0.755
Ge 0.667 0.333 0.662
Ni 0.833 0.666 0.245
Ge 0.341 0.000 0.000
Ni 0.000 0.500 0.260
Ni 0.167 0.833 0.755
Li 0.333 0.667 0.000
Ni 0.334 0.167 0.755
Ge 0.667 0.333 0.338
Ge 0.675 0.675 0.500
Ni 0.500 0.500 0.740
Ge 0.659 0.000 0.000
Ni 0.167 0.833 0.245
Li 0.000 0.000 0.500
Ge 0.325 0.325 0.500
Ni 0.833 0.666 0.755
Ni 0.833 0.167 0.245
Ge 0.333 0.667 0.338